Entry 1:
PmPaGeRh: optimized geometry, PBE.

a b c (Å): 5.0144 5.0144 5.0144
angles (deg): 60.00 60.00 60.00
Element x y z (fractional)
Ge 0.2500 0.2500 0.2500
Pa 0.0000 0.0000 0.0000
Rh 0.7500 0.7500 0.7500
Pm 0.5000 0.5000 0.5000

Summary:
The formation energy is -0.41 eV per atom.

Entry 2:
Pm2PaGe4Rh3: optimized geometry, PBE.

a b c (Å): 4.2125 4.2125 11.5099
angles (deg): 90.00 90.00 90.00
Element x y z (fractional)
Pm 0.5000 0.0000 0.2239
Pm 0.0000 0.5000 0.7761
Pa 0.5000 0.5000 0.5000
Ge 0.5000 0.5000 0.0000
Ge 0.0000 0.0000 0.0000
Ge 0.5000 0.0000 0.6751
Ge 0.0000 0.5000 0.3249
Rh 0.0000 0.0000 0.5000
Rh 0.5000 0.0000 0.8869
Rh 0.0000 0.5000 0.1131

Summary:
The formation energy is -0.72 eV per atom.

Entry 3:
PmPaGeSb: optimized geometry, PBE.

a b c (Å): 5.2326 5.2326 5.2326
angles (deg): 60.00 60.00 60.00
Element x y z (fractional)
Sb 0.5000 0.5000 0.5000
Ge 0.0000 0.0000 0.0000
Pa 0.7500 0.7500 0.7500
Pm 0.2500 0.2500 0.2500

Summary:
For the uncorrected formation energy, the calculation gives -463 meV/atom.

Entry 4:
PmPaSnGe: optimized geometry, PBE.

a b c (Å): 5.2531 5.2531 5.2531
angles (deg): 60.00 60.00 60.00
Element x y z (fractional)
Ge 0.7500 0.7500 0.7500
Pa 0.0000 0.0000 0.0000
Sn 0.2500 0.2500 0.2500
Pm 0.5000 0.5000 0.5000

Summary:
The formation energy is -0.29 eV per atom.

Entry 5:
PmPaTcGe: optimized geometry, PBE.

a b c (Å): 5.0036 5.0036 5.0036
angles (deg): 60.00 60.00 60.00
Element x y z (fractional)
Ge 0.5000 0.5000 0.5000
Pa 0.2500 0.2500 0.2500
Tc 0.0000 0.0000 0.0000
Pm 0.7500 0.7500 0.7500

Summary:
The formation energy is -0.08 eV per atom.

Entry 6:
PmPaTlGe: optimized geometry, PBE.

a b c (Å): 5.2740 5.2740 5.2740
angles (deg): 60.00 60.00 60.00
Element x y z (fractional)
Tl 0.7500 0.7500 0.7500
Pa 0.0000 0.0000 0.0000
Ge 0.2500 0.2500 0.2500
Pm 0.5000 0.5000 0.5000

Summary:
The formation energy is -0.11 eV per atom.

Entry 7:
PmUPaGe: optimized geometry, PBE.

a b c (Å): 5.1492 5.1492 5.1492
angles (deg): 60.00 60.00 60.00
Element x y z (fractional)
Ge 0.2500 0.2500 0.2500
Pa 0.5000 0.5000 0.5000
U 0.7500 0.7500 0.7500
Pm 0.0000 0.0000 0.0000

Summary:
The formation energy is 0.21 eV per atom.

Entry 8:
PmPaVGe: optimized geometry, PBE.

a b c (Å): 5.0377 5.0377 5.0377
angles (deg): 60.00 60.00 60.00
Element x y z (fractional)
Ge 0.0000 0.0000 0.0000
Pa 0.2500 0.2500 0.2500
V 0.5000 0.5000 0.5000
Pm 0.7500 0.7500 0.7500

Summary:
The formation energy is 0.14 eV per atom.

no.,calculated volume (Å³/cell),theoretical density (g/cm3)
1,89,10.27
2,204,9.11
3,101,9.35
4,103,9.19
5,89,10.25
6,104,10.45
7,97,11.81
8,90,9.18